Record 1
Ti6GaRh12 after structural relaxation, computed with PBE-GGA.

abc: 7.2690 7.2690 7.2690
angles: 110.87 110.87 110.87
With the nearest neighbours (Å) after each atom.
Sites, in units of the cell vectors:
Rh1 0.3245 0.4749 0.2040  3 Ti 2.55-2.63, 7 Rh 2.70-2.85, 1 Ga 2.78
Rh2 0.7960 0.6755 0.5251  3 Ti 2.55-2.63, 7 Rh 2.70-2.85, 1 Ga 2.78
Rh3 0.5251 0.7960 0.6755  3 Ti 2.55-2.63, 7 Rh 2.70-2.85, 1 Ga 2.78
Rh4 0.1675 0.7325 0.1019  5 Ti 2.67-2.89, 6 Rh 2.70-2.85, 1 Ga 2.81
Rh5 0.8325 0.2675 0.8981  5 Ti 2.67-2.89, 6 Rh 2.70-2.85, 1 Ga 2.81
Rh6 0.7325 0.1019 0.1675  5 Ti 2.67-2.89, 6 Rh 2.70-2.85, 1 Ga 2.81
Rh7 0.2675 0.8981 0.8325  5 Ti 2.67-2.89, 6 Rh 2.70-2.85, 1 Ga 2.81
Rh8 0.6755 0.5251 0.7960  3 Ti 2.55-2.63, 7 Rh 2.70-2.85, 1 Ga 2.78
Rh9 0.1019 0.1675 0.7325  5 Ti 2.67-2.89, 6 Rh 2.70-2.85, 1 Ga 2.81
Rh10 0.2040 0.3245 0.4749  3 Ti 2.55-2.63, 7 Rh 2.70-2.85, 1 Ga 2.78
Rh11 0.4749 0.2040 0.3245  3 Ti 2.55-2.63, 7 Rh 2.70-2.85, 1 Ga 2.78
Rh12 0.8981 0.8325 0.2675  5 Ti 2.67-2.89, 6 Rh 2.70-2.85, 1 Ga 2.81
Ga1 0.0000 0.0000 0.0000  12 Rh 2.78-2.81
Ti1 0.3707 0.0858 0.5868  7 Rh 2.55-2.75
Ti2 0.5868 0.3707 0.0858  7 Rh 2.55-2.75
Ti3 0.4132 0.6293 0.9142  7 Rh 2.55-2.75
Ti4 0.0858 0.5868 0.3707  7 Rh 2.55-2.75
Ti5 0.6293 0.9142 0.4132  7 Rh 2.55-2.75
Ti6 0.9142 0.4132 0.6293  7 Rh 2.55-2.75

Computed properties:
Space group ... R-3, No. 148



Record 2
Ti7Ga5Rh after structural relaxation, computed with PBE-GGA.

abc: 5.2176 6.9434 6.9434
angles: 80.04 67.93 67.93
With the nearest neighbours (Å) after each atom.
Sites, in units of the cell vectors:
Ti1 0.6452 0.3548 0.3548  3 Ti 2.61-2.78, 4 Ga 2.77
Ti2 0.2480 0.2520 0.2520  4 Ga 2.61, 6 Ti 2.74-2.78
Ti3 0.9911 0.6705 0.3473  5 Ga 2.75-2.79, 4 Ti 2.78-2.98
Ti4 0.3637 0.6363 0.6363  1 Rh 2.55, 1 Ti 2.61, 6 Ga 2.79-2.86
Ti5 0.4902 0.8332 0.1864  5 Ga 2.73-2.79, 3 Ti 2.74-2.98
Ti6 0.9911 0.3473 0.6705  5 Ga 2.75-2.79, 4 Ti 2.78-2.98
Ti7 0.4902 0.1864 0.8332  5 Ga 2.73-2.79, 3 Ti 2.74-2.98
Rh1 0.0886 0.9114 0.9114  1 Ti 2.55
Ga1 0.7385 0.7615 0.7615  4 Ga 2.56, 6 Ti 2.75-2.86
Ga2 0.9929 0.5165 0.0067  3 Ga 2.56-2.66, 7 Ti 2.61-2.79
Ga3 0.9929 0.0067 0.5165  3 Ga 2.56-2.66, 7 Ti 2.61-2.79
Ga4 0.4839 0.5165 0.0067  3 Ga 2.56-2.66, 7 Ti 2.61-2.79
Ga5 0.4839 0.0067 0.5165  3 Ga 2.56-2.66, 7 Ti 2.61-2.79

Computed properties:
Space group ... Imm2, No. 44



Calculated DOS(E_F), 16.06; 11.89 states/eV/cell (same order as the records).
Calculated ΔH_f (0 K), -0.608; -0.237 eV per atom (same order as the records).